Density functional theory data (PBE) for an optimized crystal structure of Zr2PaP3.

abc: 12.718 12.123 6.613
angles: 79.59 69.64 30.76
Fractional positions:
1 Zr 0.043 0.043 0.207
2 Zr 0.124 0.124 0.626
3 Zr 0.207 0.207 0.043
4 Zr 0.374 0.374 0.876
5 Zr 0.626 0.626 0.124
6 Zr 0.793 0.793 0.957
7 Zr 0.876 0.876 0.374
8 Zr 0.957 0.957 0.793
9 Pa 0.292 0.292 0.458
10 Pa 0.458 0.458 0.292
11 Pa 0.542 0.542 0.708
12 Pa 0.708 0.708 0.542
13 P 0.043 0.542 0.199
14 P 0.117 0.633 0.633
15 P 0.199 0.715 0.043
16 P 0.285 0.801 0.458
17 P 0.367 0.883 0.883
18 P 0.458 0.957 0.285
19 P 0.542 0.043 0.715
20 P 0.633 0.117 0.117
21 P 0.715 0.199 0.542
22 P 0.801 0.285 0.957
23 P 0.883 0.367 0.367
24 P 0.957 0.458 0.801

Computed properties:
Space group: Fddd (70)
Energy of formation from the pure elements (kJ/mol of atoms): -131.5
Mass density (g cm⁻³): 7.1


Density functional theory data (PBE) for an optimized crystal structure of Li2Tb2SmSn2.

abc: 9.376 9.376 9.376
angles: 29.68 29.68 29.68
Fractional positions:
1 Li 0.095 0.095 0.095
2 Li 0.905 0.905 0.905
3 Tb 0.370 0.370 0.370
4 Tb 0.630 0.630 0.630
5 Sm 0.500 0.500 0.500
6 Sn 0.238 0.238 0.238
7 Sn 0.762 0.762 0.762

Computed properties:
Space group: R-3m (166)
Energy of formation from the pure elements (kJ/mol of atoms): -44.7
Mass density (g cm⁻³): 6.7


Density functional theory data (PBE) for an optimized crystal structure of Rb2ZrTa.

abc: 9.927 9.927 9.927
angles: 93.65 93.65 150.78
Fractional positions:
1 Rb 0.375 0.227 0.352
2 Rb 0.773 0.125 0.148
3 Rb 0.875 0.023 0.648
4 Rb 0.977 0.625 0.852
5 Zr 0.250 0.750 0.500
6 Zr 0.500 0.500 0.000
7 Ta 0.000 0.000 0.000
8 Ta 0.750 0.250 0.500

Computed properties:
Distance to the lowest polymorph of the same formula (eV/f.u.): 0.00
Space group: I-42d (122)
Energy of formation from the pure elements (kJ/mol of atoms): 161.0
Mass density (g cm⁻³): 3.2


Density functional theory data (PBE) for an optimized crystal structure of SiTcW.

abc: 4.201 4.201 2.863
angles: 90.00 90.00 120.00
Fractional positions:
1 Si 0.000 0.000 0.000
2 Tc 0.667 0.333 0.000
3 W 0.333 0.667 0.500

Computed properties:
Distance to the lowest polymorph of the same formula (eV/f.u.): 0.28
Raw formation energy (eV per atom): -0.124
Space group: P-6m2 (187)
Mass density (g cm⁻³): 11.8


Density functional theory data (PBE) for an optimized crystal structure of Ce2AlPd.

abc: 6.302 6.302 6.302
angles: 122.43 86.61 121.52
Fractional positions:
1 Ce 0.273 0.000 0.773
2 Ce 0.273 0.500 0.273
3 Ce 0.727 0.000 0.227
4 Ce 0.727 0.500 0.727
5 Al 0.197 0.447 0.750
6 Al 0.803 0.553 0.250
7 Pd 0.233 0.983 0.250
8 Pd 0.767 0.017 0.750

Computed properties:
Distance to the lowest polymorph of the same formula (eV/f.u.): 0.00
Space group: Imma (74)
Energy of formation from the pure elements (kJ/mol of atoms): -45.6
Mass density (g cm⁻³): 8.0


Density functional theory data (PBE) for an optimized crystal structure of Pa2Co3Ge4Rh.

abc: 4.067 4.067 9.754
angles: 90.00 90.00 90.00
Fractional positions:
1 Pa 0.000 0.500 0.247
2 Pa 0.500 0.000 0.753
3 Co 0.000 0.500 0.875
4 Co 0.500 0.000 0.125
5 Co 0.500 0.500 0.500
6 Ge 0.000 0.000 0.000
7 Ge 0.000 0.500 0.640
8 Ge 0.500 0.000 0.360
9 Ge 0.500 0.500 0.000
10 Rh 0.000 0.000 0.500

Computed properties:
Space group: P-4m2 (115)
Energy of formation from the pure elements (kJ/mol of atoms): -58.9
Mass density (g cm⁻³): 10.6


Density functional theory data (PBE) for an optimized crystal structure of BiSbTe.

abc: 4.522 4.522 5.567
angles: 90.00 90.00 120.00
Fractional positions:
1 Bi 0.000 0.000 0.000
2 Sb 0.333 0.667 0.683
3 Te 0.667 0.333 0.349

Computed properties:
Distance to the lowest polymorph of the same formula (eV/f.u.): 0.22
Raw formation energy (eV per atom): 0.011
Space group: P3m1 (156)
Mass density (g cm⁻³): 7.7


Density functional theory data (PBE) for an optimized crystal structure of KSmInTe3.

abc: 9.295 4.371 11.806
angles: 90.00 107.25 90.00
Fractional positions:
1 K 0.230 0.250 0.280
2 K 0.770 0.750 0.720
3 Sm 0.359 0.750 0.845
4 Sm 0.641 0.250 0.155
5 In 0.124 0.250 0.570
6 In 0.876 0.750 0.430
7 Te 0.102 0.250 0.807
8 Te 0.340 0.750 0.568
9 Te 0.392 0.750 0.116
10 Te 0.608 0.250 0.884
11 Te 0.660 0.250 0.432
12 Te 0.898 0.750 0.193

Computed properties:
Raw formation energy (eV per atom): -0.973
Space group: P2_1/m (11)
Mass density (g cm⁻³): 5.0


Density functional theory data (PBE) for an optimized crystal structure of PmMg2Ga6.

abc: 7.490 7.490 7.490
angles: 147.90 122.76 67.16
Fractional positions:
1 Pm 0.000 0.000 0.000
2 Mg 0.383 0.883 0.500
3 Mg 0.617 0.117 0.500
4 Ga 0.004 0.692 0.312
5 Ga 0.321 0.500 0.821
6 Ga 0.380 0.692 0.688
7 Ga 0.620 0.308 0.312
8 Ga 0.679 0.500 0.179
9 Ga 0.996 0.308 0.688

Computed properties:
Distance to the lowest polymorph of the same formula (eV/f.u.): 0.14
Space group: Immm (71)
Energy of formation from the pure elements (kJ/mol of atoms): -24.3
Mass density (g cm⁻³): 5.5


Density functional theory data (PBE) for an optimized crystal structure of Pm4PtRhI2.

abc: 7.298 4.206 8.423
angles: 90.00 106.81 90.00
Fractional positions:
1 Pm 0.224 0.000 0.185
2 Pm 0.266 0.500 0.815
3 Pm 0.734 0.500 0.185
4 Pm 0.776 0.000 0.815
5 Pt 0.500 0.000 0.000
6 Rh 0.000 0.500 0.000
7 I 0.000 0.000 0.500
8 I 0.500 0.500 0.500

Computed properties:
Raw formation energy (eV per atom): -1.038
Space group: P2/m (10)
Mass density (g cm⁻³): 7.6


Density functional theory data (PBE) for an optimized crystal structure of Ta2ReH.

abc: 5.293 5.293 5.293
angles: 110.51 110.51 107.41
Fractional positions:
1 Ta 0.045 0.625 0.920
2 Ta 0.375 0.295 0.420
3 Ta 0.705 0.125 0.080
4 Ta 0.875 0.955 0.580
5 Re 0.250 0.750 0.500
6 Re 0.500 0.500 0.000
7 H 0.000 0.000 0.000
8 H 0.750 0.250 0.500

Computed properties:
Distance to the lowest polymorph of the same formula (eV/f.u.): 0.74
Space group: I-42d (122)
Mass density (g cm⁻³): 16.0


Density functional theory data (PBE) for an optimized crystal structure of Cs5P2Br2.

abc: 10.461 10.461 9.252
angles: 90.00 90.00 52.32
Fractional positions:
1 Cs 0.000 0.000 0.000
2 Cs 0.040 0.690 0.674
3 Cs 0.190 0.540 0.174
4 Cs 0.310 0.960 0.674
5 Cs 0.460 0.810 0.174
6 Cs 0.500 0.500 0.500
7 Cs 0.540 0.190 0.826
8 Cs 0.690 0.040 0.326
9 Cs 0.810 0.460 0.826
10 Cs 0.960 0.310 0.326
11 P 0.084 0.916 0.417
12 P 0.416 0.584 0.917
13 P 0.584 0.416 0.083
14 P 0.916 0.084 0.583
15 Br 0.204 0.204 0.000
16 Br 0.296 0.296 0.500
17 Br 0.704 0.704 0.500
18 Br 0.796 0.796 0.000

Computed properties:
Raw formation energy (eV per atom): -0.954
Space group: Cmce (64)
Mass density (g cm⁻³): 3.7


Density functional theory data (PBE) for an optimized crystal structure of U2TeH2S.

abc: 3.830 3.830 7.988
angles: 90.00 90.00 120.00
Fractional positions:
1 U 0.333 0.667 0.215
2 U 0.667 0.333 0.785
3 Te 0.000 0.000 0.500
4 H 0.333 0.667 0.757
5 H 0.667 0.333 0.243
6 S 0.000 0.000 0.000

Computed properties:
Space group: P-3m1 (164)
Final energy (eV/atom): -6.8796
Mass density (g cm⁻³): 10.4


Density functional theory data (PBE) for an optimized crystal structure of Sc2BSbN.

abc: 4.641 4.641 4.186
angles: 90.00 90.00 90.00
Fractional positions:
1 Sc 0.000 0.500 0.000
2 Sc 0.500 0.000 0.000
3 B 0.000 0.000 0.000
4 Sb 0.000 0.000 0.500
5 N 0.500 0.500 0.500

Computed properties:
Raw formation energy (eV per atom): 0.549
Space group: P4/mmm (123)
Mass density (g cm⁻³): 4.4


Density functional theory data (PBE) for an optimized crystal structure of LiGdLuNi.

abc: 4.890 4.890 4.890
angles: 60.00 60.00 60.00
Fractional positions:
1 Li 0.000 0.000 0.000
2 Gd 0.250 0.250 0.250
3 Lu 0.750 0.750 0.750
4 Ni 0.500 0.500 0.500

Computed properties:
Space group: F-43m (216)
Energy of formation from the pure elements (kJ/mol of atoms): -14.5
Mass density (g cm⁻³): 8.0


Density functional theory data (PBE) for an optimized crystal structure of HgSe2Cl2.

abc: 7.266 7.266 4.864
angles: 90.00 90.00 90.00
Fractional positions:
1 Hg 0.000 0.000 0.000
2 Hg 0.500 0.500 0.000
3 Se 0.109 0.391 0.000
4 Se 0.391 0.891 0.000
5 Se 0.609 0.109 0.000
6 Se 0.891 0.609 0.000
7 Cl 0.241 0.741 0.500
8 Cl 0.259 0.241 0.500
9 Cl 0.741 0.759 0.500
10 Cl 0.759 0.259 0.500

Computed properties:
Distance to the lowest polymorph of the same formula (eV/f.u.): 0.57
Raw formation energy (eV per atom): 0.074
Space group: P4/mbm (127)
Mass density (g cm⁻³): 5.6


Density functional theory data (PBE) for an optimized crystal structure of CaPm2Cd3.

abc: 5.418 5.418 13.249
angles: 90.00 90.00 120.00
Fractional positions:
1 Ca 0.333 0.667 0.167
2 Ca 0.667 0.333 0.833
3 Pm 0.000 0.000 0.000
4 Pm 0.000 0.000 0.500
5 Pm 0.333 0.667 0.669
6 Pm 0.667 0.333 0.331
7 Cd 0.000 0.000 0.250
8 Cd 0.000 0.000 0.750
9 Cd 0.333 0.667 0.418
10 Cd 0.333 0.667 0.917
11 Cd 0.667 0.333 0.083
12 Cd 0.667 0.333 0.582

Computed properties:
Distance to the lowest polymorph of the same formula (eV/f.u.): 0.00
Space group: P-3m1 (164)
Energy of formation from the pure elements (kJ/mol of atoms): -33.6
Mass density (g cm⁻³): 6.6